Here is a relaxed ErMg2Hg crystal from the Open Quantum Materials Database. Energies are from GGA-PBE.

## Properties
The calculation puts the size of the total moment at 0.012 Bohr magnetons per cell. The value obtained for the energy above the lowest structure with this stoichiometry is 34 meV per atom.

Lattice parameters (Å, degrees): 4.958 7.068 10.672 90.00 90.00 90.00
Space group Amm2 (No. 38)
Symmetry-distinct sites (fractional):
Er: 0.000 0.000 0.000 x2
Er: 0.500 0.000 0.286 x2
Mg: 0.000 0.000 0.481 x2
Mg: 0.000 0.226 0.736 x4
Mg: 0.500 0.000 0.794 x2
Hg: 0.500 0.238 0.545 x4